The following is a PBE-GGA calculation of Y2ThRh2 after structural relaxation, from the Alexandria database.

Lattice parameters (Å, degrees): 12.988 3.796 11.628 90.00 119.76 90.00
Space group C2/m (No. 12)
Inequivalent atoms, fractional coordinates:
Y (0.050, 0.000, 0.197) [4 per cell]
Y (0.161, 0.000, 0.563) [4 per cell]
Th (0.198, 0.500, 0.849) [4 per cell]
Rh (0.001, 0.500, 0.374) [4 per cell]
Rh (0.126, 0.500, 0.051) [4 per cell]

raw total energy	-7.69	eV per atom
total magnetization	0.00	μB/cell
formation energy	-0.681	eV per atom